Computed, not measured: a relaxed structure of Dy3Y4Tm5 at the PBE level of DFT.

The space group is C2/m (No. 12) and the conventional cell measures 15.874, 5.846 and 9.246 Å, with angles of 90.00, 116.67 and 90.00 degrees. Symmetry generates all atoms from Dy at (0.000, 0.000, 0.000), Dy at (0.210, 0.500, 0.235), Y at (0.081, 0.500, 0.439), Y at (0.212, 0.500, 0.879), Tm at (0.000, 0.500, 0.000), Tm at (0.072, 0.000, 0.699) and Tm at (0.172, 0.000, 0.385).

The energy above the most stable polymorph in this dataset comes out at 218.7 meV per atom. Its formation energy is 0.245 eV/atom. The density of states at the Fermi level is 39.73 states/eV per cell. For the total magnetization, the calculation gives 0.55 μB/f.u.